First-principles (GGA+U) data for a geometry-optimized LiVP2O8 structure, as listed in the Alexandria database.

As for the energy above the lowest structure with this stoichiometry: 94 meV per atom.

Unit cell a=5.7665 b=4.8887 c=9.7540 alpha=90.00 beta=90.00 gamma=90.00
Fractional positions:
Li 0.0000 0.1656 0.0000
Li 0.0000 0.8344 0.5000
V 0.5000 0.3143 0.5547
V 0.5000 0.6857 0.0547
P 0.0000 0.3152 0.6975
P 0.0000 0.6848 0.1975
P 0.5000 0.1064 0.8783
P 0.5000 0.8936 0.3783
O 0.0000 0.0147 0.6709
O 0.0000 0.4109 0.8434
O 0.0000 0.5891 0.3434
O 0.0000 0.9853 0.1709
O 0.2230 0.4551 0.6207
O 0.2230 0.5449 0.1207
O 0.2984 0.0555 0.4490
O 0.2984 0.9445 0.9490
O 0.5000 0.0859 0.7218
O 0.5000 0.4121 0.9204
O 0.5000 0.5879 0.4204
O 0.5000 0.9141 0.2218
O 0.7016 0.0555 0.4490
O 0.7016 0.9445 0.9490
O 0.7770 0.4551 0.6207
O 0.7770 0.5449 0.1207